[1]
## Cd2IrAu (PBE-GGA)

Data for an optimized crystal structure of Cd2IrAu.

Lattice parameters (Å, degrees): 5.112 5.112 5.112 131.99 131.99 70.24
Fractional coordinates of all 4 atoms:
Cd (0.250, 0.750, 0.500)
Cd (0.000, 0.000, 0.000)
Au (0.750, 0.250, 0.500)
Ir (0.500, 0.500, 0.000)

Output
Crystal system: tetragonal

[2]
## RbLi2Ag2 (PBE-GGA)

Data for an optimized crystal structure of RbLi2Ag2.

Lattice parameters (Å, degrees): 4.748 4.748 6.756 69.43 69.43 90.00
Fractional coordinates of all 5 atoms:
Ag (0.623, 0.623, 0.753)
Ag (0.377, 0.377, 0.247)
Li (0.250, 0.750, 0.500)
Li (0.750, 0.250, 0.500)
Rb (0.000, 0.000, 0.000)

Output
Crystal system: tetragonal

[3]
## NpAlP2Ru5 (PBE-GGA)

Data for an optimized crystal structure of NpAlP2Ru5.

Lattice parameters (Å, degrees): 4.097 4.097 8.146 90.00 90.00 90.00
Fractional coordinates of all 9 atoms:
Ru (0.000, 0.500, 0.255)
Ru (0.500, 0.000, 0.745)
Ru (0.500, 0.000, 0.255)
Ru (0.500, 0.500, 0.500)
Ru (0.000, 0.500, 0.745)
Np (0.000, 0.000, 0.500)
P (0.500, 0.500, 0.869)
P (0.500, 0.500, 0.131)
Al (0.000, 0.000, 0.000)

Output
Crystal system: tetragonal

[4]
## ScIr2Br (PBE-GGA)

Data for an optimized crystal structure of ScIr2Br.

Lattice parameters (Å, degrees): 4.906 3.006 4.640 89.89 90.00 90.00
Fractional coordinates of all 4 atoms:
Sc (0.500, 0.250, 0.250)
Br (0.500, 0.750, 0.750)
Ir (0.000, 0.500, 0.498)
Ir (0.000, 0.000, 0.002)

Output
E_form (uncorrected) in eV per formula unit: 0.00
Crystal system: monoclinic

| no. | VASP energy (eV/atom) |
| --- | --- |
| 1 | -3.379 |
| 2 | -2.103 |
| 3 | -8.524 |
| 4 | -6.431 |